TaAs2CSe | PBE-GGA | relaxed

Properties
ΔE_f (raw): 103.77 kJ per mole of atoms
DOS(E_F): 3.7 states/eV/cell
Space-group type: P4/mmm
Crystal system: tetragonal

a b c (Å): 4.319 4.319 4.259
angles (deg): 90.00 90.00 90.00
Fractional positions:
Ta  0.000  0.000  0.000
As  0.000  0.500  0.500
As  0.500  0.000  0.500
C  0.500  0.500  0.500
Se  0.500  0.500  0.000

CaCoAg | PBE-GGA | relaxed

Properties
DOS(E_F): 7.8 states/eV/cell
Formation enthalpy at 0 K: 0.446 eV/atom
Space-group type: F-43m
Crystal system: cubic

a b c (Å): 4.536 4.536 4.536
angles (deg): 60.00 60.00 60.00
Fractional positions:
Ca  0.000  0.000  0.000
Co  0.250  0.250  0.250
Ag  0.500  0.500  0.500

Pr2Al3Tc | PBE-GGA | relaxed

Properties
DOS(E_F): 8.1 states/eV/cell
Formation enthalpy at 0 K: -0.411 eV/atom
Space-group type: P6_3/mmc
Crystal system: hexagonal

a b c (Å): 5.703 5.703 9.019
angles (deg): 90.00 90.00 120.00
Fractional positions:
Pr  0.333  0.667  0.051
Pr  0.333  0.667  0.449
Pr  0.667  0.333  0.551
Pr  0.667  0.333  0.949
Al  0.158  0.317  0.750
Al  0.158  0.842  0.750
Al  0.317  0.158  0.250
Al  0.683  0.842  0.750
Al  0.842  0.158  0.250
Al  0.842  0.683  0.250
Tc  0.000  0.000  0.000
Tc  0.000  0.000  0.500

AlCrReNi | PBE-GGA | relaxed

Properties
DOS(E_F): 1.1 states/eV/cell
Formation enthalpy at 0 K: -0.170 eV/atom
Space-group type: F-43m
Crystal system: cubic

a b c (Å): 4.191 4.191 4.191
angles (deg): 60.00 60.00 60.00
Fractional positions:
Al  0.000  0.000  0.000
Cr  0.500  0.500  0.500
Re  0.250  0.250  0.250
Ni  0.750  0.750  0.750

TaSe2I | PBE-GGA | relaxed

Properties
ΔE_f (raw): -50.98 kJ per mole of atoms
DOS(E_F): 3.1 states/eV/cell
Space-group type: C2
Crystal system: monoclinic

a b c (Å): 3.469 3.469 10.751
angles (deg): 98.95 98.95 60.95
Fractional positions:
Ta  0.000  0.000  0.000
Se  0.284  0.284  0.843
Se  0.716  0.716  0.157
I  0.488  0.512  0.500

ZrGaPd2 | PBE-GGA | relaxed

Properties
DOS(E_F): 3.8 states/eV/cell
Formation enthalpy at 0 K: -0.559 eV/atom
Space-group type: P4/mmm
Crystal system: tetragonal

a b c (Å): 4.070 4.070 4.102
angles (deg): 90.00 90.00 90.00
Fractional positions:
Zr  0.000  0.000  0.000
Ga  0.500  0.500  0.000
Pd  0.000  0.500  0.500
Pd  0.500  0.000  0.500

LiRuCl6 | PBE-GGA | relaxed

Properties
ΔE_f (raw): -68.23 kJ per mole of atoms
DOS(E_F): 0.8 states/eV/cell
Space-group type: R-3
Crystal system: trigonal

a b c (Å): 6.668 6.668 6.668
angles (deg): 55.99 55.99 55.99
Fractional positions:
Li  0.000  0.000  0.000
Ru  0.500  0.500  0.500
Cl  0.117  0.420  0.725
Cl  0.275  0.883  0.580
Cl  0.420  0.725  0.117
Cl  0.580  0.275  0.883
Cl  0.725  0.117  0.420
Cl  0.883  0.580  0.275

Tl2CuIr2Se6 | PBE-GGA | relaxed

Properties
ΔE_f (raw): -23.27 kJ per mole of atoms
DOS(E_F): 5.9 states/eV/cell
Space-group type: C2/m
Crystal system: monoclinic

a b c (Å): 6.610 6.610 7.516
angles (deg): 98.82 98.82 120.12
Fractional positions:
Tl  0.168  0.832  0.000
Tl  0.832  0.168  0.000
Cu  0.000  0.000  0.500
Ir  0.330  0.670  0.500
Ir  0.670  0.330  0.500
Se  0.063  0.410  0.682
Se  0.270  0.270  0.335
Se  0.410  0.063  0.682
Se  0.590  0.937  0.318
Se  0.730  0.730  0.665
Se  0.937  0.590  0.318

Sr2LiMgF | PBE-GGA | relaxed

Properties
ΔE_f (raw): -103.36 kJ per mole of atoms
DOS(E_F): 2.9 states/eV/cell
Space-group type: P4/mmm
Crystal system: tetragonal

a b c (Å): 5.530 5.530 4.279
angles (deg): 90.00 90.00 90.00
Fractional positions:
Sr  0.000  0.500  0.000
Sr  0.500  0.000  0.000
Li  0.000  0.000  0.500
Mg  0.500  0.500  0.500
F  0.000  0.000  0.000

MnRe2Ni | PBE-GGA | relaxed

Properties
DOS(E_F): 7.1 states/eV/cell
Formation enthalpy at 0 K: 0.699 eV/atom
Space-group type: I-42d
Crystal system: tetragonal

a b c (Å): 5.357 5.357 5.357
angles (deg): 103.33 103.33 122.60
Fractional positions:
Mn  0.000  0.000  0.000
Mn  0.750  0.250  0.500
Re  0.100  0.625  0.975
Re  0.375  0.350  0.475
Re  0.650  0.125  0.025
Re  0.875  0.900  0.525
Ni  0.250  0.750  0.500
Ni  0.500  0.500  0.000

Y3TcAg | PBE-GGA | relaxed

Properties
DOS(E_F): 6.9 states/eV/cell
Formation enthalpy at 0 K: 0.206 eV/atom
Space-group type: Pm-3m
Crystal system: cubic

a b c (Å): 5.318 5.318 5.318
angles (deg): 90.00 90.00 90.00
Fractional positions:
Y  0.000  0.000  0.500
Y  0.000  0.500  0.000
Y  0.500  0.000  0.000
Tc  0.000  0.000  0.000
Ag  0.500  0.500  0.500

NaAuCl4 | PBE-GGA | relaxed

Properties
ΔE_f (raw): -79.24 kJ per mole of atoms
DOS(E_F): 0.0 states/eV/cell
Space-group type: P2_1/c
Crystal system: monoclinic

a b c (Å): 6.672 4.343 13.603
angles (deg): 90.00 119.29 90.00
Fractional positions:
Na  0.000  0.000  0.000
Na  0.000  0.500  0.500
Au  0.500  0.000  0.500
Au  0.500  0.500  0.000
Cl  0.205  0.193  0.868
Cl  0.205  0.307  0.368
Cl  0.320  0.507  0.110
Cl  0.320  0.993  0.610
Cl  0.680  0.007  0.390
Cl  0.680  0.493  0.890
Cl  0.795  0.693  0.632
Cl  0.795  0.807  0.132

LaHgBr2 | PBE-GGA | relaxed

Properties
ΔE_f (raw): -123.65 kJ per mole of atoms
DOS(E_F): 3.5 states/eV/cell
Space-group type: R-3m
Crystal system: trigonal

a b c (Å): 12.119 12.119 12.119
angles (deg): 19.40 19.40 19.40
Fractional positions:
La  0.000  0.000  0.000
Hg  0.500  0.500  0.500
Br  0.387  0.387  0.387
Br  0.613  0.613  0.613

SrAcCuO3 | PBE-GGA | relaxed

Properties
ΔE_f (raw): -214.85 kJ per mole of atoms
Space-group type: Cmcm
Crystal system: orthorhombic

a b c (Å): 5.945 5.945 9.966
angles (deg): 90.00 90.00 144.59
Fractional positions:
Sr  0.246  0.754  0.750
Sr  0.754  0.246  0.250
Ac  0.000  0.000  0.000
Ac  0.000  0.000  0.500
Cu  0.486  0.514  0.250
Cu  0.514  0.486  0.750
O  0.089  0.911  0.250
O  0.369  0.631  0.094
O  0.369  0.631  0.406
O  0.631  0.369  0.594
O  0.631  0.369  0.906
O  0.911  0.089  0.750

NbCr3Cu2S8 | PBE-GGA | relaxed

Properties
ΔE_f (raw): -53.00 kJ per mole of atoms
DOS(E_F): 9.5 states/eV/cell
Space-group type: P2_1/m
Crystal system: monoclinic

a b c (Å): 11.921 3.362 14.585
angles (deg): 90.00 90.76 90.00
Fractional positions:
Nb  0.196  0.250  0.135
Nb  0.804  0.750  0.865
Cr  0.123  0.250  0.539
Cr  0.341  0.750  0.620
Cr  0.393  0.750  0.050
Cr  0.607  0.250  0.950
Cr  0.659  0.250  0.380
Cr  0.877  0.750  0.461
Cu  0.015  0.250  0.256
Cu  0.417  0.250  0.472
Cu  0.583  0.750  0.528
Cu  0.985  0.750  0.744
S  0.001  0.750  0.594
S  0.039  0.750  0.150
S  0.228  0.250  0.680
S  0.252  0.750  0.480
S  0.259  0.250  0.988
S  0.320  0.750  0.205
S  0.480  0.750  0.907
S  0.486  0.250  0.622
S  0.514  0.750  0.378
S  0.520  0.250  0.093
S  0.680  0.250  0.795
S  0.741  0.750  0.012
S  0.748  0.250  0.520
S  0.772  0.750  0.320
S  0.961  0.250  0.850
S  0.999  0.250  0.406

Y2MgPt | PBE-GGA | relaxed

Properties
DOS(E_F): 3.6 states/eV/cell
Formation enthalpy at 0 K: -0.532 eV/atom
Space-group type: P4mm
Crystal system: tetragonal

a b c (Å): 3.528 3.528 7.835
angles (deg): 90.00 90.00 90.00
Fractional positions:
Y  0.000  0.000  0.000
Y  0.500  0.500  0.335
Mg  0.000  0.000  0.613
Pt  0.500  0.500  0.793

Sc3TlSe | PBE-GGA | relaxed

Properties
ΔE_f (raw): -70.64 kJ per mole of atoms
DOS(E_F): 10.2 states/eV/cell
Space-group type: P2_1/m
Crystal system: monoclinic

a b c (Å): 6.519 4.160 8.430
angles (deg): 90.00 99.33 90.00
Fractional positions:
Sc  0.026  0.250  0.175
Sc  0.172  0.250  0.573
Sc  0.472  0.750  0.804
Sc  0.528  0.250  0.196
Sc  0.828  0.750  0.427
Sc  0.974  0.750  0.825
Tl  0.315  0.750  0.366
Tl  0.685  0.250  0.634
Se  0.245  0.250  0.916
Se  0.755  0.750  0.084

Tb2YPaRu2 | PBE-GGA | relaxed

Properties
DOS(E_F): 11.4 states/eV/cell
Formation enthalpy at 0 K: -0.291 eV/atom
Space-group type: Ibam
Crystal system: orthorhombic

a b c (Å): 8.348 8.348 8.348
angles (deg): 131.32 70.42 132.45
Fractional positions:
Tb  0.196  0.197  0.394
Tb  0.304  0.697  0.001
Tb  0.696  0.303  0.999
Tb  0.804  0.803  0.606
Y  0.250  0.750  0.500
Y  0.750  0.250  0.500
Pa  0.250  0.250  0.000
Pa  0.750  0.750  0.000
Ru  0.103  0.797  0.899
Ru  0.397  0.297  0.694
Ru  0.603  0.703  0.306
Ru  0.897  0.203  0.101

NaY2PaSe6 | PBE-GGA | relaxed

Properties
ΔE_f (raw): -152.30 kJ per mole of atoms
DOS(E_F): 0.0 states/eV/cell
Space-group type: R3
Crystal system: trigonal

a b c (Å): 7.767 7.767 7.767
angles (deg): 55.54 55.54 55.54
Fractional positions:
Na  0.000  0.000  0.000
Y  0.199  0.199  0.199
Y  0.711  0.711  0.711
Pa  0.518  0.518  0.518
Se  0.125  0.422  0.784
Se  0.330  0.918  0.579
Se  0.422  0.784  0.125
Se  0.579  0.330  0.918
Se  0.784  0.125  0.422
Se  0.918  0.579  0.330

Pm3SeCl7 | PBE-GGA | relaxed

Properties
ΔE_f (raw): -209.88 kJ per mole of atoms
DOS(E_F): 0.0 states/eV/cell
Space-group type: P3m1
Crystal system: trigonal

a b c (Å): 8.401 8.401 6.794
angles (deg): 90.00 90.00 120.00
Fractional positions:
Pm  0.010  0.505  0.000
Pm  0.495  0.505  0.000
Pm  0.495  0.990  0.000
Se  0.333  0.667  0.765
Cl  0.179  0.358  0.219
Cl  0.179  0.821  0.219
Cl  0.359  0.179  0.800
Cl  0.642  0.821  0.219
Cl  0.667  0.333  0.225
Cl  0.821  0.179  0.800
Cl  0.821  0.641  0.800